(1)
A relaxed structure of KCoOF2. Source: the Alexandria database, functional PBEsol.

a b c (Å): 3.5658 4.1097 4.1097
angles (deg): 90.00 90.00 90.00
Atoms (fractional coordinates):
K 0.5000 0.5000 0.5000
Co 0.0000 0.0000 0.0000
O 0.5000 0.0000 0.0000
F 0.0000 0.0000 0.5000
F 0.0000 0.5000 0.0000

## Properties
DFT total energy: -5.433 eV per atom
Symmetry: P4/mmm (123)
Formation energy from raw total energies: -1.84 eV per atom


(2)
A relaxed structure of LiFe2Se. Source: the Alexandria database, functional PBEsol.

a b c (Å): 3.5417 3.5417 4.7078
angles (deg): 112.10 112.10 90.00
Atoms (fractional coordinates):
Fe 0.7500 0.2500 0.5000
Fe 0.2500 0.7500 0.5000
Li 0.5000 0.5000 0.0000
Se 0.0000 0.0000 0.0000

## Properties
DFT total energy: -5.919 eV per atom
Symmetry: I4/mmm (139)
Formation energy from raw total energies: 0.02 eV per atom


(3)
A relaxed structure of LiCd2In. Source: the Alexandria database, functional PBEsol.

a b c (Å): 3.0383 3.0383 8.9594
angles (deg): 90.00 90.00 90.00
Atoms (fractional coordinates):
Li 0.5000 0.5000 0.5000
In 0.5000 0.5000 0.0000
Cd 0.0000 0.0000 0.7254
Cd 0.0000 0.0000 0.2746

## Properties
DFT total energy: -1.958 eV per atom
Symmetry: P4/mmm (123)
Calculated formation energy: -122 meV per atom


(4)
A relaxed structure of ScTaTl. Source: the Alexandria database, functional PBEsol.

a b c (Å): 3.1537 3.1537 7.2702
angles (deg): 90.00 90.00 120.00
Atoms (fractional coordinates):
Sc 0.0000 0.0000 0.9888
Ta 0.6667 0.3333 0.6737
Tl 0.3333 0.6667 0.3376

## Properties
DFT total energy: -7.132 eV per atom
Symmetry: P3m1 (156)
Calculated formation energy: 130 meV per atom


(5)
A relaxed structure of BeZnAsBr2. Source: the Alexandria database, functional PBEsol.

a b c (Å): 4.6679 4.6679 4.7503
angles (deg): 90.00 90.00 90.00
Atoms (fractional coordinates):
Be 0.0000 0.0000 0.0000
As 0.0000 0.0000 0.5000
Zn 0.5000 0.5000 0.5000
Br 0.0000 0.5000 0.0000
Br 0.5000 0.0000 0.0000

## Properties
DFT total energy: -2.643 eV per atom
Symmetry: P4/mmm (123)
Formation energy from raw total energies: 0.24 eV per atom


(6)
A relaxed structure of ReSiOs. Source: the Alexandria database, functional PBEsol.

a b c (Å): 2.7570 2.7570 6.2256
angles (deg): 90.00 90.00 120.00
Atoms (fractional coordinates):
Os 0.0000 0.0000 0.0078
Re 0.6667 0.3333 0.6631
Si 0.3333 0.6667 0.3291

## Properties
DFT total energy: -10.534 eV per atom
Symmetry: P3m1 (156)
Formation energy from raw total energies: -0.10 eV per atom


- Which value of DFT total energy does entry 1 give?
  -5.433 eV per atom


What did the fourth record say?
A relaxed structure of ScTaTl. Source: the Alexandria database, functional PBEsol.

a b c (Å): 3.1537 3.1537 7.2702
angles (deg): 90.00 90.00 120.00
Atoms (fractional coordinates):
Sc 0.0000 0.0000 0.9888
Ta 0.6667 0.3333 0.6737
Tl 0.3333 0.6667 0.3376

## Properties
DFT total energy: -7.132 eV per atom
Symmetry: P3m1 (156)
Calculated formation energy: 130 meV per atom